1.
Density functional theory data (GGA-PBE) for a relaxed structure of Tl2OsAu.

Calculated values
- SG: Imm2
- Total DFT energy (no corrections): -4.206 eV/atom
- DOS(E_F): 2.0 states/eV per cell

The structure in POSCAR format:
```
Tl2OsAu
1.0
6.951 0.007 0.038
6.301 2.937 0.038
1.527 0.339 4.370
Tl Os Au
2 1 1
Direct
0.053 0.053 0.947 Tl
0.259 0.259 0.241 Tl
0.751 0.751 0.750 Os
0.437 0.437 0.563 Au
```

***

2.
Density functional theory data (GGA-PBE) for a relaxed structure of LiDy12Ni6.

Calculated values
- SG: Im-3
- Total DFT energy (no corrections): -5.105 eV/atom
- DOS(E_F): 24.3 states/eV per cell

The structure in POSCAR format:
```
LiDy12Ni6
1.0
7.952 0.000 -2.811
-3.976 6.887 -2.811
0.000 0.000 8.434
Dy Ni Li
12 6 1
Direct
0.494 0.187 0.307 Dy
0.119 0.813 0.307 Dy
0.506 0.813 0.693 Dy
0.187 0.307 0.494 Dy
0.693 0.506 0.813 Dy
0.693 0.881 0.187 Dy
0.307 0.119 0.813 Dy
0.307 0.494 0.187 Dy
0.813 0.693 0.506 Dy
0.881 0.187 0.693 Dy
0.813 0.307 0.119 Dy
0.187 0.693 0.881 Dy
0.123 0.623 0.500 Ni
0.877 0.377 0.500 Ni
0.623 0.500 0.123 Ni
0.500 0.877 0.377 Ni
0.377 0.500 0.877 Ni
0.500 0.123 0.623 Ni
0.000 0.000 0.000 Li
```